--- P ---
Crystalline VSeO4 at its relaxed geometry, computed with PBE with a Hubbard U.

a = 6.042 Å, b = 6.437 Å, c = 6.144 Å
α = 114.29°, β = 98.89°, γ = 94.98°
Positions (direct):
O1 0.000 0.099 0.979
O2 0.675 0.764 0.656
O3 0.469 0.877 0.028
Se1 0.612 0.223 0.530
V1 0.294 0.083 0.986
V2 0.771 0.909 0.016
O4 0.815 0.154 0.353
O5 0.437 0.283 0.940
O6 0.374 0.248 0.353
O7 0.230 0.861 0.629
O8 0.879 0.705 0.059
Se2 0.443 0.793 0.470

## Properties
SG   P1
Magnetic moment   0.0 μB/cell
Crystal system   triclinic

***

--- Q ---
Crystalline VSeO4 at its relaxed geometry, computed with PBE with a Hubbard U.

a = 10.022 Å, b = 3.922 Å, c = 8.206 Å
α = 81.48°, β = 90.00°, γ = 90.00°
Positions (direct):
O1 0.128 0.018 0.498
O2 0.493 0.562 0.802
Se1 0.791 0.190 0.968
O3 0.372 0.018 0.998
O4 0.884 0.877 0.896
V1 0.996 0.988 0.304
O5 0.872 0.982 0.502
V2 0.496 0.012 0.196
O6 0.507 0.438 0.198
O7 0.116 0.123 0.104
O8 0.993 0.438 0.698
Se2 0.709 0.190 0.468
Se3 0.209 0.810 0.032
V3 0.504 0.988 0.804
V4 0.004 0.012 0.696
Se4 0.291 0.810 0.532
O9 0.007 0.562 0.302
O10 0.166 0.872 0.827
O11 0.666 0.128 0.673
O12 0.334 0.872 0.327
O13 0.628 0.982 0.002
O14 0.616 0.877 0.396
O15 0.384 0.123 0.604
O16 0.834 0.128 0.173

## Properties
SG   P2_1/c
Magnetic moment   4.0 μB/cell
DOS(E_F)   0.0000 states/eV/atom
Crystal system   monoclinic

***

--- R ---
Crystalline VSeO4 at its relaxed geometry, computed with PBE with a Hubbard U.

a = 5.471 Å, b = 5.471 Å, c = 6.001 Å
α = 92.11°, β = 92.11°, γ = 57.12°
Positions (direct):
V1 0.000 0.500 0.000
O1 0.314 0.775 0.458
V2 0.500 0.000 0.500
O2 0.225 0.686 0.042
O3 0.229 0.198 0.215
O4 0.802 0.771 0.285
O5 0.198 0.229 0.715
O6 0.686 0.225 0.542
O7 0.775 0.314 0.958
O8 0.771 0.802 0.785
Se1 0.043 0.957 0.250
Se2 0.957 0.043 0.750

## Properties
SG   C2/c
Magnetic moment   2.0 μB/cell
Crystal system   monoclinic

***

Least stable structure: R

***

--- P ---
Crystalline V2SeO at its relaxed geometry, computed with PBE with a Hubbard U.

a = 4.346 Å, b = 4.346 Å, c = 4.346 Å
α = 60.00°, β = 60.00°, γ = 60.00°
Positions (direct):
Se1 0.500 0.500 0.500
V1 0.750 0.750 0.750
V2 0.250 0.250 0.250
O1 0.000 0.000 0.000

## Properties
SG   Fm-3m
Magnetic moment   6.0 μB/cell
DOS(E_F)   0.9473 states/eV/atom
Crystal system   cubic

***

--- Q ---
Crystalline V2SeO at its relaxed geometry, computed with PBE with a Hubbard U.

a = 5.250 Å, b = 5.250 Å, c = 6.512 Å
α = 66.23°, β = 66.23°, γ = 90.00°
Positions (direct):
V1 0.875 0.785 0.750
Se1 0.000 0.000 0.000
Se2 0.750 0.250 0.500
V2 0.215 0.625 0.250
V3 0.375 0.465 0.750
O1 0.500 0.500 0.000
O2 0.250 0.750 0.500
V4 0.535 0.125 0.250

## Properties
SG   I-42d
Magnetic moment   12.0 μB/cell
DOS(E_F)   0.2937 states/eV/atom
Crystal system   tetragonal

***

Least stable structure: P